VASP calculation (GGA-PBE) on an optimized crystal structure of GdLuZn2.

a = 7.1005 Å, b = 7.1005 Å, c = 7.1005 Å
α = 90.00°, β = 90.00°, γ = 90.00°
Closest atoms and distances in Å follow each position.
Element x y z (fractional)
Gd 0.0000 0.0000 0.0000  8 Zn 3.07
Gd 0.0000 0.5000 0.5000  8 Zn 3.07
Gd 0.5000 0.0000 0.5000  8 Zn 3.07
Gd 0.5000 0.5000 0.0000  8 Zn 3.07
Lu 0.0000 0.0000 0.5000  8 Zn 3.07
Lu 0.0000 0.5000 0.0000  8 Zn 3.07
Lu 0.5000 0.0000 0.0000  8 Zn 3.07
Lu 0.5000 0.5000 0.5000  8 Zn 3.07
Zn 0.2500 0.2500 0.2500  4 Gd 3.07, 4 Lu 3.07
Zn 0.2500 0.2500 0.7500  4 Gd 3.07, 4 Lu 3.07
Zn 0.2500 0.7500 0.2500  4 Gd 3.07, 4 Lu 3.07
Zn 0.2500 0.7500 0.7500  4 Gd 3.07, 4 Lu 3.07
Zn 0.7500 0.2500 0.2500  4 Gd 3.07, 4 Lu 3.07
Zn 0.7500 0.2500 0.7500  4 Gd 3.07, 4 Lu 3.07
Zn 0.7500 0.7500 0.2500  4 Gd 3.07, 4 Lu 3.07
Zn 0.7500 0.7500 0.7500  4 Gd 3.07, 4 Lu 3.07

Computed properties:
The calculation puts the formation energy at -33.52 kJ per mole of atoms.